[1]
## BeTlAg2 (PBEsol)

Data for a geometry-optimized BeTlAg2 structure.

abc: 3.049 4.906 4.906
angles: 110.70 90.00 90.00
Positions (direct):
1 Be 0.500 0.000 0.000
2 Tl 0.500 0.500 0.500
3 Ag 0.000 0.500 0.000
4 Ag 0.000 0.000 0.500

Summary:
* density of states at the Fermi level: 1.4 states/eV per cell
* calculated volume: 17.2 Å³ per atom
* SG: No. 65
* energy relative to the elements: 0.405 eV/atom



[2]
## BeTl4Ag (PBEsol)

Data for a geometry-optimized BeTl4Ag structure.

abc: 6.120 6.120 6.120
angles: 60.00 60.00 60.00
Positions (direct):
1 Ag 0.750 0.750 0.750
2 Be 0.000 0.000 0.000
3 Tl 0.375 0.375 0.375
4 Tl 0.375 0.375 0.875
5 Tl 0.875 0.375 0.375
6 Tl 0.375 0.875 0.375

Summary:
* density of states at the Fermi level: 2.6 states/eV per cell
* calculated volume: 27.0 Å³ per atom
* SG: No. 216
* energy relative to the elements: 0.743 eV/atom



[3]
## Y4BeAg (PBEsol)

Data for a geometry-optimized Y4BeAg structure.

abc: 6.044 6.044 6.044
angles: 60.00 60.00 60.00
Positions (direct):
1 Ag 0.750 0.750 0.750
2 Be 0.000 0.000 0.000
3 Y 0.375 0.375 0.375
4 Y 0.375 0.375 0.876
5 Y 0.876 0.375 0.375
6 Y 0.375 0.876 0.375

Summary:
* density of states at the Fermi level: 5.5 states/eV per cell
* calculated volume: 26.0 Å³ per atom
* SG: No. 216
* energy relative to the elements: 0.743 eV/atom



[4]
## Y2BeAg (PBEsol)

Data for a geometry-optimized Y2BeAg structure.

abc: 3.460 3.460 7.000
angles: 90.00 90.00 90.00
Positions (direct):
1 Y 0.000 0.000 0.732
2 Y 0.000 0.000 0.268
3 Be 0.500 0.500 0.500
4 Ag 0.500 0.500 0.000

Summary:
* density of states at the Fermi level: 2.6 states/eV per cell
* calculated volume: 20.9 Å³ per atom
* SG: No. 123
* energy relative to the elements: -0.137 eV/atom